First-principles (PBE) data for crystalline TiAl2FeCl at its relaxed geometry, as listed in Alexandria.

Structure (POSCAR):
```
TiAl2FeCl
1.0
4.712 0.000 0.000
0.000 4.071 0.000
0.000 0.000 4.712
Al Fe Cl Ti
2 1 1 1
Direct
0.500 0.000 0.000 Al
0.000 0.000 0.500 Al
0.000 0.500 0.000 Fe
0.000 0.000 0.000 Cl
0.500 0.500 0.500 Ti
```

Summary:
As for the uncorrected formation energy: 3.56 eV per formula unit. As for the energy above the most stable polymorph in this dataset: 0.0 meV per atom. As for the space-group type: P4/mmm. The value obtained for the magnetic moment is 2.2 Bohr magnetons per cell. As for the density of states at the Fermi level: 4.637 states/eV/cell. The electronic total energy is -4.4257 eV/atom.